DFT (GGA-PBEsol) results for Sm2Mg after structural relaxation.

Unit cell a=3.5606 b=3.5606 c=13.7097 alpha=90.00 beta=90.00 gamma=90.00
Space group I4/mmm (No. 139)
Symmetry-distinct sites (fractional):
Sm1 0.0000 0.0000 0.1619 (multiplicity 4)
Mg1 0.0000 0.0000 0.5000 (multiplicity 2)

Output
E above lowest polymorph: 7 meV/atom
V: 28.97 Å³/atom
Calculated total energy: -4.017 eV per atom
Density: 6.21 g/cm³

***

DFT (GGA-PBEsol) results for SmMg3 after structural relaxation.

Unit cell a=7.2998 b=7.2998 c=7.2998 alpha=90.00 beta=90.00 gamma=90.00
Space group Fm-3m (No. 225)
Symmetry-distinct sites (fractional):
Sm1 0.0000 0.0000 0.0000 (multiplicity 4)
Mg1 0.0000 0.0000 0.5000 (multiplicity 4)
Mg2 0.2500 0.2500 0.2500 (multiplicity 8)

Output
V: 24.31 Å³/atom
Calculated total energy: -2.669 eV per atom
Density: 3.81 g/cm³

***

DFT (GGA-PBEsol) results for SmMgTl after structural relaxation.

Unit cell a=7.5579 b=7.5579 c=4.6604 alpha=90.00 beta=90.00 gamma=120.00
Space group P-62m (No. 189)
Symmetry-distinct sites (fractional):
Sm1 0.0000 0.4286 0.0000 (multiplicity 3)
Mg1 0.0000 0.7569 0.5000 (multiplicity 3)
Tl1 0.0000 0.0000 0.0000 (multiplicity 1)
Tl2 0.3333 0.6667 0.5000 (multiplicity 2)

Output
V: 25.62 Å³/atom
Calculated total energy: -3.555 eV per atom
Density: 8.19 g/cm³

***

DFT (GGA-PBEsol) results for SmYMg2 after structural relaxation.

Unit cell a=7.5458 b=7.5458 c=7.5458 alpha=90.00 beta=90.00 gamma=90.00
Space group Fm-3m (No. 225)
Symmetry-distinct sites (fractional):
Sm1 0.0000 0.0000 0.0000 (multiplicity 4)
Y1 0.0000 0.0000 0.5000 (multiplicity 4)
Mg1 0.2500 0.2500 0.2500 (multiplicity 8)

Output
V: 26.85 Å³/atom
Calculated total energy: -3.937 eV per atom
Density: 4.45 g/cm³